Computed, not measured: a relaxed structure of CrGeO2F at the PBE with a Hubbard U level of DFT.

Calculated values
For the magnetic moment, the calculation gives 0.600 μB/atom. For the total energy, the calculation gives -6.20 eV/atom. As for the space group: P4/mmm, No. 123.

Lattice parameters (Å, degrees): 3.949 3.949 3.824 90.00 90.00 90.00
Each line ends with the local moment (μB).
Element x y z (fractional)
O (0.500, 0.000, 0.000)  -0.01
O (0.000, 0.500, 0.000)  -0.01
F (0.000, 0.000, 0.500)  0.01
Cr (0.000, 0.000, 0.000)  2.88
Ge (0.500, 0.500, 0.500)  0.03

***

Computed, not measured: a relaxed structure of CrGeOF2 at the PBE with a Hubbard U level of DFT.

Calculated values
For the magnetic moment, the calculation gives 0.718 μB/atom. For the total energy, the calculation gives -5.66 eV/atom. The energy relative to the lowest polymorph listed for this composition is 0.000 kcal/mol of atoms. As for the space group: P4/mmm, No. 123.

Lattice parameters (Å, degrees): 4.053 4.053 3.995 90.00 90.00 90.00
Each line ends with the local moment (μB).
Element x y z (fractional)
F (0.500, 0.000, 0.000)  0.00
F (0.000, 0.500, 0.000)  0.00
Ge (0.500, 0.500, 0.500)  0.05
O (0.000, 0.000, 0.500)  -0.02
Cr (0.000, 0.000, 0.000)  3.41

***

Computed, not measured: a relaxed structure of CrGeO2F at the PBE with a Hubbard U level of DFT.

Calculated values
For the magnetic moment, the calculation gives 0.942 μB/atom. For the total energy, the calculation gives -5.98 eV/atom. As for the space group: P4/mmm, No. 123.

Lattice parameters (Å, degrees): 3.790 3.790 4.048 90.00 90.00 90.00
Each line ends with the local moment (μB).
Element x y z (fractional)
Cr (0.500, 0.500, 0.500)  4.43
Ge (0.000, 0.000, 0.000)  0.00
F (0.000, 0.000, 0.500)  0.03
O (0.500, 0.000, 0.000)  -0.01
O (0.000, 0.500, 0.000)  -0.01

***

Computed, not measured: a relaxed structure of CrGeOsF2 at the PBE with a Hubbard U level of DFT.

Calculated values
For the magnetic moment, the calculation gives 0.746 μB/atom. For the total energy, the calculation gives -5.77 eV/atom. As for the space group: P4/mmm, No. 123.

Lattice parameters (Å, degrees): 3.730 6.298 3.730 90.00 90.00 90.00
Each line ends with the local moment (μB).
Element x y z (fractional)
Os (0.500, 0.500, 0.500)  1.73
F (0.000, 0.000, 0.500)  0.00
F (0.500, 0.000, 0.000)  -0.01
Cr (0.000, 0.000, 0.000)  1.66
Ge (0.000, 0.500, 0.000)  -0.04

***

Computed, not measured: a relaxed structure of CrGeP2F at the PBE with a Hubbard U level of DFT.

Calculated values
For the magnetic moment, the calculation gives 0.005 μB/atom. For the total energy, the calculation gives -4.01 eV/atom. As for the space group: P4/mmm, No. 123.

Lattice parameters (Å, degrees): 4.479 4.337 4.479 90.00 90.00 90.00
Each line ends with the local moment (μB).
Element x y z (fractional)
P (0.500, 0.000, 0.000)  0.04
P (0.000, 0.000, 0.500)  0.04
Cr (0.500, 0.500, 0.500)  0.06
F (0.000, 0.000, 0.000)  -0.01
Ge (0.000, 0.500, 0.000)  -0.08

***

Computed, not measured: a relaxed structure of CrGePdF2 at the PBE with a Hubbard U level of DFT.

Calculated values
For the magnetic moment, the calculation gives 0.334 μB/atom. For the total energy, the calculation gives -5.20 eV/atom. As for the space group: P4/mmm, No. 123.

Lattice parameters (Å, degrees): 3.793 5.878 3.793 90.00 90.00 90.00
Each line ends with the local moment (μB).
Element x y z (fractional)
Pd (0.000, 0.500, 0.000)  0.02
Ge (0.500, 0.500, 0.500)  0.00
Cr (0.000, 0.000, 0.000)  1.54
F (0.000, 0.000, 0.500)  -0.01
F (0.500, 0.000, 0.000)  -0.03